Here is a relaxed MgBeSe2 crystal from the Alexandria database. Energies are from GGA-PBE.

Results
total energy = -15.70 eV per cell
E_form (uncorrected) = -851 meV per atom
energy above the most stable polymorph in this dataset = 0.124 eV/atom

Cell: 3.9137 3.6985 5.9586 Å, 90.00 95.87 90.00°
Closest atoms and distances in Å follow each position.
Positions (direct):
Mg 0.0000 0.0000 0.0000  5 Se 2.62-2.73
Be 0.7347 0.5000 0.4214  3 Se 2.16
Se 0.5117 0.5000 0.0739  1 Be 2.16
Se 0.9506 0.0000 0.5576  2 Be 2.16